NaCd2InHg5 | PBE | relaxed

Cell lengths 3.466, 17.350, 15.424 Å; angles 90.00, 90.00, 90.00 degrees
Space group Cmc2_1 (No. 36)
One atom of each set of equivalent atoms:
Na 0.000 0.036 0.000 [4 per cell]
Cd 0.000 0.360 0.985 [4 per cell]
Cd 0.000 0.420 0.309 [4 per cell]
In 0.000 0.283 0.584 [4 per cell]
Hg 0.000 0.074 0.339 [4 per cell]
Hg 0.000 0.106 0.646 [4 per cell]
Hg 0.000 0.199 0.910 [4 per cell]
Hg 0.000 0.236 0.255 [4 per cell]
Hg 0.000 0.442 0.668 [4 per cell]

Theoretical density: 9.8 g/cm³
VASP energy: -0.03197 hartree per atom
Energy of formation: -0.05 eV/atom


Na3Cd2In2Hg4 | PBE | relaxed

Cell lengths 5.1858, 5.1858, 12.4583 Å; angles 90.00, 90.00, 120.00 degrees
Space group P-3m1 (No. 164)
One atom of each set of equivalent atoms:
Na 0.0000 0.0000 0.0000 [1 per cell]
Na 0.0000 0.0000 0.2696 [2 per cell]
Cd 0.3333 0.6667 0.1207 [2 per cell]
In 0.3333 0.6667 0.6090 [2 per cell]
Hg 0.3333 0.6667 0.3684 [2 per cell]
Hg 0.3333 0.6667 0.8669 [2 per cell]

Theoretical density: 7.6 g/cm³
VASP energy: -0.04686 hartree per atom
Energy of formation: -0.14 eV/atom


Na2CdInHg2 | PBE | relaxed

Cell lengths 5.328, 10.284, 5.416 Å; angles 90.00, 90.00, 90.00 degrees
Space group Pmc2_1 (No. 26)
One atom of each set of equivalent atoms:
Na 0.000 0.077 0.000 [2 per cell]
Na 0.500 0.250 0.120 [2 per cell]
Cd 0.500 0.428 0.625 [2 per cell]
In 0.000 0.261 0.518 [2 per cell]
Hg 0.000 0.408 0.013 [2 per cell]
Hg 0.500 0.086 0.611 [2 per cell]

Theoretical density: 7.5 g/cm³
VASP energy: -0.04759 hartree per atom
Energy of formation: -0.15 eV/atom


Na2Cd2InHg4 | PBE | relaxed

Cell lengths 5.776, 6.402, 7.706 Å; angles 70.89, 72.28, 63.46 degrees
Space group P-1 (No. 2)
One atom of each set of equivalent atoms:
Na 0.189 0.294 0.326 [2 per cell]
Cd 0.313 0.156 0.864 [2 per cell]
In 0.500 0.500 0.500 [1 per cell]
Hg 0.102 0.864 0.272 [2 per cell]
Hg 0.265 0.642 0.895 [2 per cell]

Theoretical density: 8.3 g/cm³
VASP energy: -0.03830 hartree per atom
Energy of formation: -0.11 eV/atom


NaCd2In2Hg5 | PBE | relaxed

Cell lengths 11.058, 11.058, 4.356 Å; angles 90.00, 90.00, 90.00 degrees
Space group P4/mbm (No. 127)
One atom of each set of equivalent atoms:
Na 0.000 0.000 0.000 [2 per cell]
Cd 0.156 0.344 0.000 [4 per cell]
In 0.152 0.652 0.000 [4 per cell]
Hg 0.000 0.500 0.500 [2 per cell]
Hg 0.011 0.206 0.500 [8 per cell]

Theoretical density: 9.2 g/cm³
VASP energy: -0.03861 hartree per atom
Energy of formation: -0.04 eV/atom


NaCdIn4Hg2 | PBE | relaxed

Cell lengths 4.797, 4.797, 9.951 Å; angles 90.00, 90.00, 90.00 degrees
Space group P4/mmm (No. 123)
One atom of each set of equivalent atoms:
Na 0.000 0.000 0.000 [1 per cell]
Cd 0.000 0.000 0.500 [1 per cell]
In 0.000 0.500 0.320 [4 per cell]
Hg 0.500 0.500 0.140 [2 per cell]

Theoretical density: 7.2 g/cm³
VASP energy: -0.06419 hartree per atom
Energy of formation: -0.02 eV/atom


> What is the theoretical density in the third record?

7.5 g/cm³